First-principles (PBE) data for crystalline YScCd2 at its relaxed geometry, as listed in Alexandria.

Lattice parameters (Å, degrees): 5.811 5.811 5.811 134.76 134.76 65.91
Fractional coordinates of all 4 atoms:
Y: 0.000 0.000 0.000
Sc: 0.750 0.250 0.500
Cd: 0.250 0.750 0.500
Cd: 0.500 0.500 0.000

Density of states at the Fermi level (states/eV per atom): 1.07
Energy (eV/atom): -3.81
Formation enthalpy at 0 K (eV/atom): -0.1503